CsLiPS4 | PBE | relaxed

abc: 6.544 6.250 9.899
angles: 90.00 102.88 90.00
Space group P2_1/m (No. 11)
One atom of each set of equivalent atoms:
Cs (0.216, 0.250, 0.023) x2
Li (0.155, 0.250, 0.535) x2
P (0.242, 0.750, 0.315) x2
S (0.039, 0.002, 0.316) x4
S (0.368, 0.750, 0.148) x2
S (0.474, 0.750, 0.499) x2

Values from the calculation:
Formation energy without anion corrections: -690 meV per atom
Total moment: 0.0 μB per formula unit

InGe3Pb | PBE | relaxed

abc: 5.282 5.282 5.282
angles: 90.00 90.00 90.00
Space group Pm-3m (No. 221)
One atom of each set of equivalent atoms:
In (0.000, 0.000, 0.000) x1
Ge (0.000, 0.000, 0.500) x3
Pb (0.500, 0.500, 0.500) x1

Values from the calculation:
Energy above the lowest structure with this stoichiometry: 0.000 eV/atom
Calculated formation energy: 736 meV/atom
Total moment: 0.0 μB per formula unit

Be3IO | PBE | relaxed

abc: 4.759 4.759 4.759
angles: 90.00 90.00 90.00
Space group Pm-3m (No. 221)
One atom of each set of equivalent atoms:
Be (0.000, 0.000, 0.500) x3
I (0.000, 0.000, 0.000) x1
O (0.500, 0.500, 0.500) x1

Values from the calculation:
Formation energy without anion corrections: 2010 meV per atom
Energy above the lowest structure with this stoichiometry: 1.535 eV/atom
Total moment: 0.0 μB per formula unit

Nb6P2H | PBE | relaxed

abc: 5.241 6.443 9.603
angles: 90.00 122.96 90.00
Space group P2_1/c (No. 14)
One atom of each set of equivalent atoms:
Nb (0.098, 0.179, 0.449) x4
Nb (0.300, 0.675, 0.449) x4
Nb (0.379, 0.019, 0.255) x4
P (0.171, 0.118, 0.749) x4
H (0.000, 0.000, 0.000) x2

Values from the calculation:
Total moment: 0.0 μB per formula unit
Total DFT energy (no corrections): -159.589 eV/cell

La2HgBi6 | PBE | relaxed

abc: 16.980 4.553 8.473
angles: 90.00 117.63 90.00
Space group C2/m (No. 12)
One atom of each set of equivalent atoms:
La (0.059, 0.000, 0.327) x4
Hg (0.000, 0.500, 0.000) x2
Bi (0.094, 0.500, 0.663) x4
Bi (0.169, 0.000, 0.041) x4
Bi (0.218, 0.500, 0.331) x4

Values from the calculation:
Calculated formation energy: -419 meV/atom
Total moment: 0.0 μB per formula unit

CsLiTlHg | PBE | relaxed

abc: 5.0035 5.0035 20.9854
angles: 90.00 90.00 120.00
Space group R3m (No. 160, hexagonal axes)
One atom of each set of equivalent atoms:
Cs (0.0000, 0.0000, 0.0000) x3
Li (0.0000, 0.0000, 0.8158) x3
Tl (0.0000, 0.0000, 0.1919) x3
Hg (0.0000, 0.0000, 0.4788) x3

Values from the calculation:
Calculated formation energy: -174 meV/atom
Total moment: 0.0 μB per formula unit